Fe3MoBr | PBE | optimized geometry

## Properties
Polymorph energy (0 for the lowest one) (kJ/mol of atoms): 0.0
Energy relative to the elements, uncorrected (eV per atom): 1.57

```
Fe3MoBr
1.0
-1.5693 3.7647 2.1156
-2.8255 0.8072 -3.5323
-3.2658 -2.5074 2.0394
Fe Br Mo
3 1 1
Direct
0.0000 0.5000 0.0000
0.0000 0.0000 0.5000
0.5000 0.0000 0.0000
0.5000 0.5000 0.5000
0.0000 0.0000 0.0000
```

FeMoBr2 | PBE | optimized geometry

## Properties
Polymorph energy (0 for the lowest one) (kJ/mol of atoms): 0.0
Energy relative to the elements, uncorrected (eV per atom): 0.05

```
FeMoBr2
1.0
3.4797 -0.4554 0.0222
2.2399 2.7017 0.0222
1.4675 0.5763 8.7520
Fe Br Mo
1 2 1
Direct
0.5639 0.5639 0.2944
0.7476 0.7476 0.6626
0.9506 0.9506 0.1092
0.2380 0.2380 0.4338
```

Fe2MoPBr | PBE | optimized geometry

## Properties
Energy relative to the elements, uncorrected (eV per atom): 1.61

```
Fe2MoPBr
1.0
-0.9534 -4.2353 -1.2530
4.6245 -0.8180 -0.7539
0.4558 -1.3694 4.2818
P Fe Br Mo
1 2 1 1
Direct
0.5000 0.5000 0.5000
0.0000 0.0000 0.5000
0.5000 0.0000 0.0000
0.0000 0.5000 0.0000
0.0000 0.0000 0.0000
```

FeMoPbBr2 | PBE | optimized geometry

## Properties
Energy relative to the elements, uncorrected (eV per atom): 0.89

```
FeMoPbBr2
1.0
4.9119 0.0000 0.0000
0.0000 5.9073 0.0000
0.0000 0.0000 4.9119
Br Mo Fe Pb
2 1 1 1
Direct
0.5000 0.0000 0.0000
0.0000 0.0000 0.5000
0.0000 0.0000 0.0000
0.5000 0.5000 0.5000
0.0000 0.5000 0.0000
```

FeMoPd2Br | PBE | optimized geometry

## Properties
Polymorph energy (0 for the lowest one) (kJ/mol of atoms): 7.2
Energy relative to the elements, uncorrected (eV per atom): 1.28

```
FeMoPd2Br
1.0
-1.4166 0.2043 -4.6920
-2.2396 -4.1701 0.4946
-4.0899 2.3552 1.3374
Pd Br Fe Mo
2 1 1 1
Direct
0.5000 0.0000 0.0000
0.0000 0.0000 0.5000
0.0000 0.5000 0.0000
0.5000 0.5000 0.5000
0.0000 0.0000 0.0000
```

FeMoPd2Br | PBE | optimized geometry

## Properties
Polymorph energy (0 for the lowest one) (kJ/mol of atoms): 0.0
Energy relative to the elements, uncorrected (eV per atom): 1.20

```
FeMoPd2Br
1.0
-0.0520 -2.7042 -4.1013
1.0112 -3.6721 2.4083
-4.7873 -0.8926 0.6492
Br Pd Fe Mo
1 2 1 1
Direct
0.5000 0.5000 0.5000
0.0000 0.0000 0.5000
0.5000 0.0000 0.0000
0.0000 0.5000 0.0000
0.0000 0.0000 0.0000
```

Raw total energy across the listed records, respectively: -6.01; -5.61; -5.36; -4.38; -4.99; -5.07 eV per atom.
Calculated density across the listed records, respectively: 5.9; 5.7; 5.4; 6.0; 6.4; 6.8 Mg/m³.
Size of the total moment across the listed records, respectively: 5.7; 0.0; 3.4; 3.6; 3.6; 1.5 μB/f.u..